# 1
LaIr2Pt2: relaxed, GGA-PBE.

E_form, eV/atom: -0.37
Density of states at the Fermi level, states/eV per cell: 4.70

Lattice parameters (Å, degrees): 6.420 6.420 6.420 142.18 142.18 54.56
Element x y z (fractional)
La (0.000, 0.000, 0.000)
Ir (0.398, 0.398, 0.000)
Ir (0.602, 0.602, 0.000)
Pt (0.250, 0.750, 0.500)
Pt (0.750, 0.250, 0.500)

***

# 2
HRhN2O: relaxed, GGA-PBE.

Density of states at the Fermi level, states/eV per cell: 3.78
Total DFT energy (no corrections), eV/atom: -4.80

Lattice parameters (Å, degrees): 2.987 2.987 4.421 90.00 90.00 90.00
Element x y z (fractional)
H (0.000, 0.000, 0.000)
Rh (0.500, 0.500, 0.500)
N (0.000, 0.500, 0.000)
N (0.500, 0.000, 0.000)
O (0.000, 0.000, 0.500)

***

# 3
Li2RhO: relaxed, GGA-PBE.

ΔE_f (raw), eV per atom: -0.72
Density of states at the Fermi level, states/eV per cell: 7.85

Lattice parameters (Å, degrees): 5.372 5.372 5.372 97.92 97.92 136.43
Element x y z (fractional)
Li (0.375, 0.004, 0.129)
Li (0.754, 0.625, 0.629)
Li (0.875, 0.246, 0.871)
Li (0.996, 0.125, 0.371)
Rh (0.250, 0.750, 0.500)
Rh (0.500, 0.500, 0.000)
O (0.000, 0.000, 0.000)
O (0.750, 0.250, 0.500)

***

# 4
Mg3NbGe: relaxed, GGA-PBE.

E_form, eV/atom: 0.81
Density of states at the Fermi level, states/eV per cell: 7.76

Lattice parameters (Å, degrees): 4.981 4.981 4.981 90.00 90.00 90.00
Element x y z (fractional)
Mg (0.000, 0.000, 0.500)
Mg (0.000, 0.500, 0.000)
Mg (0.500, 0.000, 0.000)
Nb (0.500, 0.500, 0.500)
Ge (0.000, 0.000, 0.000)

***

# 5
Ba2HgBiP: relaxed, GGA-PBE.

E_form, eV/atom: -0.60
Density of states at the Fermi level, states/eV per cell: 3.52

Lattice parameters (Å, degrees): 6.302 6.302 4.911 90.00 90.00 90.00
Element x y z (fractional)
Ba (0.000, 0.500, 0.000)
Ba (0.500, 0.000, 0.000)
Hg (0.000, 0.000, 0.500)
Bi (0.500, 0.500, 0.500)
P (0.000, 0.000, 0.000)

***

# 6
Tb4Y9Cd11: relaxed, GGA-PBE.

E_form, eV/atom: -0.26
Density of states at the Fermi level, states/eV per cell: 26.06

Lattice parameters (Å, degrees): 13.889 13.889 3.553 90.00 90.00 109.76
Element x y z (fractional)
Tb (0.079, 0.249, 0.000)
Tb (0.249, 0.079, 0.000)
Tb (0.751, 0.921, 0.000)
Tb (0.921, 0.751, 0.000)
Y (0.000, 0.000, 0.000)
Y (0.120, 0.652, 0.000)
Y (0.294, 0.478, 0.000)
Y (0.348, 0.880, 0.000)
Y (0.478, 0.294, 0.000)
Y (0.522, 0.706, 0.000)
Y (0.652, 0.120, 0.000)
Y (0.706, 0.522, 0.000)
Y (0.880, 0.348, 0.000)
Cd (0.088, 0.448, 0.500)
Cd (0.131, 0.869, 0.500)
Cd (0.282, 0.282, 0.500)
Cd (0.322, 0.678, 0.500)
Cd (0.448, 0.088, 0.500)
Cd (0.500, 0.500, 0.500)
Cd (0.552, 0.912, 0.500)
Cd (0.678, 0.322, 0.500)
Cd (0.718, 0.718, 0.500)
Cd (0.869, 0.131, 0.500)
Cd (0.912, 0.552, 0.500)

***

Question: Among the records above, which one has the lowest density of states at the Fermi level?
Answer: Ba2HgBiP

***

Please write out number 5 again, unchanged.
Ba2HgBiP: relaxed, GGA-PBE.

E_form, eV/atom: -0.60
Density of states at the Fermi level, states/eV per cell: 3.52

Lattice parameters (Å, degrees): 6.302 6.302 4.911 90.00 90.00 90.00
Element x y z (fractional)
Ba (0.000, 0.500, 0.000)
Ba (0.500, 0.000, 0.000)
Hg (0.000, 0.000, 0.500)
Bi (0.500, 0.500, 0.500)
P (0.000, 0.000, 0.000)

***

Question: Which of these has the highest density of states at the Fermi level?
Answer: Tb4Y9Cd11

***

Question: Which value of density of states at the Fermi level does entry 5 give?
Answer: 3.52 states/eV per cell